Entry from the Alexandria database: an optimized crystal structure of YGaBr6 (PBE).

Calculated values
- Electronic total energy: -3.650 eV/atom
- ΔE_f (raw): -1209 meV/atom

Lattice parameters (Å, degrees): 7.4362 7.4362 6.7019 97.97 97.97 126.42
Fractional positions:
Br 0.7454 0.7454 0.2560
Br 0.1368 0.4139 0.2743
Br 0.5861 0.8632 0.7257
Br 0.8632 0.5861 0.7257
Br 0.4139 0.1368 0.2743
Br 0.2546 0.2546 0.7440
Y 0.0000 0.0000 0.0000
Ga 0.5000 0.5000 0.5000